## Dy2PH (PBE)

Data for a geometry-optimized Dy2PH structure.

## Properties
- density of states at the Fermi level (states/eV per cell) = 4.14
- space group = R-3m, No. 166
- calculated total energy (eV/atom) = -5.437

a b c (Å): 3.886 3.886 17.647
angles (deg): 90.00 90.00 120.00
Positions (direct):
Dy (0.000, 0.000, 0.246)
Dy (0.000, 0.000, 0.754)
Dy (0.333, 0.667, 0.420)
Dy (0.333, 0.667, 0.913)
Dy (0.667, 0.333, 0.087)
Dy (0.667, 0.333, 0.580)
P (0.000, 0.000, 0.000)
P (0.333, 0.667, 0.667)
P (0.667, 0.333, 0.333)
H (0.000, 0.000, 0.500)
H (0.333, 0.667, 0.167)
H (0.667, 0.333, 0.833)